Entry 1:
# GGA-PBE As2PRh, relaxed
data_As2PRh
_chemical_formula_sum 'As2 P1 Rh1'
_space_group_name_H-M_alt 'P 1'
_space_group_IT_number 1
_space_group_name_Hall 'P 1'
_cell_length_a 6.075
_cell_length_b 6.075
_cell_length_c 6.075
_cell_angle_alpha 151.70
_cell_angle_beta 138.24
_cell_angle_gamma 51.21
loop_
_atom_site_label
_atom_site_type_symbol
_atom_site_fract_x
_atom_site_fract_y
_atom_site_fract_z
As1 As 0.058 0.058 0.000
As2 As 0.729 0.229 0.500
P1 P 0.441 0.441 0.000
Rh1 Rh 0.273 0.773 0.500
# ΔH_f (0 K) in eV/atom: 0.126
# VASP energy in eV per cell: -21.6
# Crystal system: orthorhombic



Entry 2:
# GGA-PBE NaPm2SnTe4, relaxed
data_NaPm2SnTe4
_chemical_formula_sum 'Na1 Pm2 Sn1 Te4'
_space_group_name_H-M_alt 'P 1'
_space_group_IT_number 1
_space_group_name_Hall 'P 1'
_cell_length_a 6.352
_cell_length_b 6.352
_cell_length_c 7.816
_cell_angle_alpha 113.98
_cell_angle_beta 113.98
_cell_angle_gamma 89.99
loop_
_atom_site_label
_atom_site_type_symbol
_atom_site_fract_x
_atom_site_fract_y
_atom_site_fract_z
Na1 Na 0.500 0.500 0.000
Pm1 Pm 0.250 0.750 0.500
Pm2 Pm 0.000 0.000 0.000
Sn1 Sn 0.750 0.250 0.500
Te1 Te 0.999 0.499 0.998
Te2 Te 0.501 0.001 0.002
Te3 Te 0.750 0.750 0.501
Te4 Te 0.250 0.250 0.499
# VASP energy in eV per cell: -35.8
# Crystal system: tetragonal
# E_form (uncorrected) in meV/atom: -1046



Entry 3:
# GGA-PBE DyNpBi2, relaxed
data_DyNpBi2
_chemical_formula_sum 'Dy1 Np1 Bi2'
_space_group_name_H-M_alt 'P 1'
_space_group_IT_number 1
_space_group_name_Hall 'P 1'
_cell_length_a 4.037
_cell_length_b 5.350
_cell_length_c 5.350
_cell_angle_alpha 90.00
_cell_angle_beta 90.00
_cell_angle_gamma 90.00
loop_
_atom_site_label
_atom_site_type_symbol
_atom_site_fract_x
_atom_site_fract_y
_atom_site_fract_z
Np1 Np 0.500 0.000 0.000
Bi1 Bi 0.000 0.000 0.500
Bi2 Bi 0.000 0.500 0.000
Dy1 Dy 0.500 0.500 0.500
# ΔH_f (0 K) in eV/atom: -0.203
# VASP energy in eV per cell: -26.1
# Crystal system: tetragonal



Entry 4:
# GGA-PBE MoIrCl2, relaxed
data_MoIrCl2
_chemical_formula_sum 'Mo1 Ir1 Cl2'
_space_group_name_H-M_alt 'P 1'
_space_group_IT_number 1
_space_group_name_Hall 'P 1'
_cell_length_a 9.686
_cell_length_b 9.686
_cell_length_c 9.686
_cell_angle_alpha 17.74
_cell_angle_beta 17.74
_cell_angle_gamma 17.74
loop_
_atom_site_label
_atom_site_type_symbol
_atom_site_fract_x
_atom_site_fract_y
_atom_site_fract_z
Mo1 Mo 0.754 0.754 0.754
Ir1 Ir 0.491 0.491 0.491
Cl1 Cl 0.023 0.023 0.023
Cl2 Cl 0.231 0.231 0.231
# VASP energy in eV per cell: -23.5
# Crystal system: trigonal
# E_form (uncorrected) in meV/atom: -31



Entry 5:
# GGA-PBE SrHo4Mg5, relaxed
data_SrHo4Mg5
_chemical_formula_sum 'Sr1 Ho4 Mg5'
_space_group_name_H-M_alt 'P 1'
_space_group_IT_number 1
_space_group_name_Hall 'P 1'
_cell_length_a 3.824
_cell_length_b 3.824
_cell_length_c 19.577
_cell_angle_alpha 90.00
_cell_angle_beta 90.00
_cell_angle_gamma 90.00
loop_
_atom_site_label
_atom_site_type_symbol
_atom_site_fract_x
_atom_site_fract_y
_atom_site_fract_z
Sr1 Sr 0.000 0.000 0.000
Ho1 Ho 0.000 0.000 0.218
Ho2 Ho 0.000 0.000 0.406
Ho3 Ho 0.000 0.000 0.594
Ho4 Ho 0.000 0.000 0.782
Mg1 Mg 0.500 0.500 0.121
Mg2 Mg 0.500 0.500 0.311
Mg3 Mg 0.500 0.500 0.500
Mg4 Mg 0.500 0.500 0.689
Mg5 Mg 0.500 0.500 0.879
# ΔH_f (0 K) in eV/atom: -0.060
# VASP energy in eV per cell: -28.6
# Crystal system: tetragonal



Entry 6:
# GGA-PBE TlZnAg2F6, relaxed
data_TlZnAg2F6
_chemical_formula_sum 'Tl2 Zn2 Ag4 F12'
_space_group_name_H-M_alt 'P 1'
_space_group_IT_number 1
_space_group_name_Hall 'P 1'
_cell_length_a 5.936
_cell_length_b 6.036
_cell_length_c 8.456
_cell_angle_alpha 90.00
_cell_angle_beta 89.80
_cell_angle_gamma 90.00
loop_
_atom_site_label
_atom_site_type_symbol
_atom_site_fract_x
_atom_site_fract_y
_atom_site_fract_z
Tl1 Tl 0.500 0.000 0.000
Tl2 Tl 0.000 0.500 0.500
Zn1 Zn 0.500 0.000 0.500
Zn2 Zn 0.000 0.500 0.000
Ag1 Ag 0.021 0.934 0.252
Ag2 Ag 0.521 0.566 0.752
Ag3 Ag 0.979 0.066 0.748
Ag4 Ag 0.479 0.434 0.248
F1 F 0.281 0.679 0.067
F2 F 0.781 0.821 0.567
F3 F 0.719 0.321 0.933
F4 F 0.219 0.179 0.433
F5 F 0.333 0.714 0.438
F6 F 0.833 0.786 0.938
F7 F 0.667 0.286 0.562
F8 F 0.167 0.214 0.062
F9 F 0.875 0.537 0.228
F10 F 0.375 0.963 0.728
F11 F 0.125 0.463 0.772
F12 F 0.625 0.037 0.272
# VASP energy in eV per cell: -73.0
# Crystal system: monoclinic
# E_form (uncorrected) in meV/atom: -1593



Entry 7:
# GGA-PBE SrTaBr2, relaxed
data_SrTaBr2
_chemical_formula_sum 'Sr1 Ta1 Br2'
_space_group_name_H-M_alt 'P 1'
_space_group_IT_number 1
_space_group_name_Hall 'P 1'
_cell_length_a 6.850
_cell_length_b 6.850
_cell_length_c 7.161
_cell_angle_alpha 52.23
_cell_angle_beta 52.23
_cell_angle_gamma 29.26
loop_
_atom_site_label
_atom_site_type_symbol
_atom_site_fract_x
_atom_site_fract_y
_atom_site_fract_z
Sr1 Sr 0.521 0.521 0.433
Br1 Br 0.921 0.921 0.156
Br2 Br 0.757 0.757 0.838
Ta1 Ta 0.301 0.301 0.073
# VASP energy in eV per cell: -17.4
# Crystal system: monoclinic
# E_form (uncorrected) in meV/atom: -128



Entry 8:
# GGA-PBE CePm2DyY6, relaxed
data_CePm2DyY6
_chemical_formula_sum 'Ce1 Pm2 Dy1 Y6'
_space_group_name_H-M_alt 'P 1'
_space_group_IT_number 1
_space_group_name_Hall 'P 1'
_cell_length_a 9.073
_cell_length_b 6.753
_cell_length_c 6.678
_cell_angle_alpha 120.37
_cell_angle_beta 105.91
_cell_angle_gamma 90.00
loop_
_atom_site_label
_atom_site_type_symbol
_atom_site_fract_x
_atom_site_fract_y
_atom_site_fract_z
Ce1 Ce 0.000 0.500 0.000
Pm1 Pm 0.175 0.088 0.177
Pm2 Pm 0.825 0.912 0.823
Dy1 Dy 0.500 0.000 0.000
Y1 Y 0.421 0.632 0.264
Y2 Y 0.196 0.071 0.656
Y3 Y 0.804 0.415 0.344
Y4 Y 0.196 0.585 0.656
Y5 Y 0.804 0.929 0.344
Y6 Y 0.579 0.368 0.736
# ΔH_f (0 K) in eV/atom: 0.238
# VASP energy in eV per cell: -56.4
# Crystal system: monoclinic